First-principles (PBEsol) data for crystalline KNi2Cl at its relaxed geometry, as listed in Alexandria.

Unit cell a=3.744 b=3.744 c=5.964 alpha=90.00 beta=90.00 gamma=90.00
Fractional positions:
K 0.000 0.000 0.000
Ni 0.000 0.500 0.500
Ni 0.500 0.000 0.500
Cl 0.500 0.500 0.000

Values from the calculation:
Formation energy (no corrections) = 48.2 kJ per mole of atoms
Offset from the most stable computed form = 428 meV per atom
Space group = P4/mmm